VASP calculation (PBE) on an optimized crystal structure of Ac8Si3HgTe4.

Geometry as POSCAR:
```
Ac8Si3HgTe4
1.0
-5.452 -3.618 -6.625
-4.856 -4.774 6.604
0.890 9.238 0.766
Ac Te Si Hg
8 4 3 1
direct
0.260 0.279 0.519
0.268 0.270 0.019
0.751 0.270 0.502
0.249 0.730 0.981
0.740 0.721 0.481
0.751 0.270 0.019
0.249 0.730 0.498
0.732 0.730 0.981
0.500 0.000 0.000
0.000 0.000 0.500
0.000 0.000 0.000
0.500 0.000 0.500
0.000 0.500 0.500
0.500 0.500 0.000
0.500 0.500 0.500
0.000 0.500 0.000
```

Computed properties:
Formation energy without anion corrections ... -1.0376 eV per atom
SG ... R-3m (166)
Size of the total moment ... 0.06 μB per atom
Fermi-level density of states ... 0.690 states/eV per atom